1.
A plane-wave DFT calculation with PBE-GGA was carried out for a relaxed Zr2SiTeS crystal.

Summary:
Density of states at the Fermi level ... 1.053 states/eV per atom
Formation energy (no corrections) ... 0.25 eV/atom
Excess energy over the best structure of this formula in the dataset ... 198.6 kJ/mol of formula units

a = 4.8330 Å, b = 4.8330 Å, c = 5.2302 Å
α = 90.00°, β = 90.00°, γ = 90.00°
Last column: nearest neighbours and their distance in Å.
Atoms (fractional coordinates):
Zr: 0.0000 0.5000 0.0000  2 S 2.42
Zr: 0.5000 0.0000 0.0000  2 S 2.42
Si: 0.0000 0.0000 0.5000  4 Te 3.42, 8 Zr 3.56
Te: 0.5000 0.5000 0.5000  2 S 2.62
S: 0.5000 0.5000 0.0000  4 Zr 2.42, 2 Te 2.62

---

2.
A plane-wave DFT calculation with PBE-GGA was carried out for a relaxed Y4Er3Tl4 crystal.

Summary:
Density of states at the Fermi level ... 1.086 states/eV per atom
Formation energy ... -22.9 kJ/mol of atoms

a = 10.6211 Å, b = 10.6211 Å, c = 10.6211 Å
α = 160.18°, β = 126.90°, γ = 57.24°
Last column: nearest neighbours and their distance in Å.
Atoms (fractional coordinates):
Y: 0.0258 0.8372 0.1886  4 Tl 3.16-3.23
Y: 0.3514 0.1628 0.1886  4 Tl 3.16-3.23
Y: 0.6486 0.8372 0.8114  4 Tl 3.16-3.23
Y: 0.9742 0.1628 0.8114  4 Tl 3.16-3.23
Er: 0.0000 0.5000 0.5000  4 Tl 3.23
Er: 0.4036 0.4036 0.0000  6 Tl 3.11-3.31
Er: 0.5964 0.5964 0.0000  6 Tl 3.11-3.31
Tl: 0.2690 0.7690 0.5000  2 Er 3.11, 6 Y 3.22-3.23
Tl: 0.2801 0.0000 0.2801  2 Y 3.16, 6 Er 3.23-3.31
Tl: 0.7199 0.0000 0.7199  2 Y 3.16, 6 Er 3.23-3.31
Tl: 0.7310 0.2310 0.5000  2 Er 3.11, 6 Y 3.22-3.23

---

3.
A plane-wave DFT calculation with PBE-GGA was carried out for a relaxed Sr2LaAu2 crystal.

Summary:
Density of states at the Fermi level ... 1.038 states/eV per atom
Formation energy ... -34.0 kJ/mol of atoms
Excess energy over the best structure of this formula in the dataset ... 124.4 kJ/mol of formula units

a = 7.6991 Å, b = 7.6991 Å, c = 7.6991 Å
α = 143.28°, β = 143.28°, γ = 52.91°
Last column: nearest neighbours and their distance in Å.
Atoms (fractional coordinates):
Sr: 0.2500 0.7500 0.5000  4 Au 3.19, 4 Sr 3.43
Sr: 0.7500 0.2500 0.5000  4 Au 3.19, 4 Sr 3.43
La: 0.0000 0.0000 0.0000  8 Au 3.70
Au: 0.4000 0.4000 0.0000  1 Au 2.76
Au: 0.6000 0.6000 0.0000  1 Au 2.76

---

4.
A plane-wave DFT calculation with PBE-GGA was carried out for a relaxed NdHo3Co crystal.

Summary:
Density of states at the Fermi level ... 1.695 states/eV per atom
Formation energy ... -3.4 kJ/mol of atoms
Excess energy over the best structure of this formula in the dataset ... 29.4 kJ/mol of formula units

a = 5.2798 Å, b = 5.2798 Å, c = 5.2798 Å
α = 90.00°, β = 90.00°, γ = 90.00°
Last column: nearest neighbours and their distance in Å.
Atoms (fractional coordinates):
Nd: 0.0000 0.0000 0.0000  12 Ho 3.73
Ho: 0.0000 0.5000 0.5000  2 Co 2.64
Ho: 0.5000 0.0000 0.5000  2 Co 2.64
Ho: 0.5000 0.5000 0.0000  2 Co 2.64
Co: 0.5000 0.5000 0.5000  6 Ho 2.64

---

5.
A plane-wave DFT calculation with PBE-GGA was carried out for a relaxed SbOs2Au crystal.

Summary:
Density of states at the Fermi level ... 1.207 states/eV per atom
Formation energy (no corrections) ... 0.77 eV/atom

a = 3.1900 Å, b = 3.1900 Å, c = 6.6036 Å
α = 90.00°, β = 90.00°, γ = 90.00°
Last column: nearest neighbours and their distance in Å.
Atoms (fractional coordinates):
Sb: 0.0000 0.0000 0.0000  8 Os 2.72
Os: 0.5000 0.5000 0.2306  4 Sb 2.72, 4 Au 2.87, 1 Os 3.05
Os: 0.5000 0.5000 0.7694  4 Sb 2.72, 4 Au 2.87, 1 Os 3.05
Au: 0.0000 0.0000 0.5000  8 Os 2.87, 4 Au 3.19

---

6.
A plane-wave DFT calculation with PBE-GGA was carried out for a relaxed NaAg2H crystal.

Summary:
Density of states at the Fermi level ... 0.295 states/eV per atom
Excess energy over the best structure of this formula in the dataset ... 0.0 kJ/mol of formula units

a = 5.9559 Å, b = 5.9559 Å, c = 5.9559 Å
α = 119.60°, β = 119.60°, γ = 90.69°
Last column: nearest neighbours and their distance in Å.
Atoms (fractional coordinates):
Na: 0.3750 0.6250 0.7500  12 Ag 3.48-3.51, 4 H 3.65, 4 Na 3.65
Na: 0.6250 0.3750 0.2500  12 Ag 3.48-3.51, 4 H 3.65, 4 Na 3.65
Ag: 0.0000 0.0000 0.0000  2 H 1.83
Ag: 0.0000 0.0000 0.5000  2 H 1.83
Ag: 0.0000 0.5000 0.0000  2 H 1.83
Ag: 0.5000 0.0000 0.5000  2 H 1.83
H: 0.1250 0.8750 0.2500  4 Ag 1.83
H: 0.8750 0.1250 0.7500  4 Ag 1.83

---

7.
A plane-wave DFT calculation with PBE-GGA was carried out for a relaxed BaNiSb2 crystal.

Summary:
Density of states at the Fermi level ... 0.245 states/eV per atom
Formation energy (no corrections) ... -0.53 eV/atom

a = 5.2540 Å, b = 4.1836 Å, c = 5.3874 Å
α = 90.00°, β = 108.22°, γ = 90.00°
Last column: nearest neighbours and their distance in Å.
Atoms (fractional coordinates):
Ba: 0.0000 0.0000 0.0000  2 Ni 3.12
Ni: 0.5000 0.0000 0.5000  4 Sb 2.58
Sb: 0.3112 0.5000 0.6614  2 Ni 2.58
Sb: 0.6888 0.5000 0.3386  2 Ni 2.58

---

8.
A plane-wave DFT calculation with PBE-GGA was carried out for a relaxed CaY4Cu crystal.

Summary:
Density of states at the Fermi level ... 1.450 states/eV per atom
Formation energy ... 49.9 kJ/mol of atoms

a = 6.5034 Å, b = 6.5034 Å, c = 6.5034 Å
α = 60.00°, β = 60.00°, γ = 60.00°
Last column: nearest neighbours and their distance in Å.
Atoms (fractional coordinates):
Ca: 0.0000 0.0000 0.0000  12 Y 3.81, 4 Cu 3.98
Y: 0.3754 0.3754 0.3754  6 Y 3.24-3.26
Y: 0.3754 0.3754 0.8739  6 Y 3.24-3.26
Y: 0.3754 0.8739 0.3754  6 Y 3.24-3.26
Y: 0.8739 0.3754 0.3754  6 Y 3.24-3.26
Cu: 0.7500 0.7500 0.7500  12 Y 3.81, 4 Ca 3.98

---

9.
A plane-wave DFT calculation with PBE-GGA was carried out for a relaxed KAgSbRh crystal.

Summary:
Density of states at the Fermi level ... 0.303 states/eV per atom
Formation energy (no corrections) ... -0.26 eV/atom

a = 4.1392 Å, b = 4.1392 Å, c = 12.8102 Å
α = 90.00°, β = 90.00°, γ = 90.00°
Last column: nearest neighbours and their distance in Å.
Atoms (fractional coordinates):
K: 0.2500 0.2500 0.2213  4 Ag 3.51, 4 Sb 3.55
K: 0.7500 0.7500 0.7787  4 Ag 3.51, 4 Sb 3.55
Ag: 0.2500 0.7500 0.0000  4 Ag 2.93
Ag: 0.7500 0.2500 0.0000  4 Ag 2.93
Sb: 0.2500 0.2500 0.6223  4 Rh 2.60
Sb: 0.7500 0.7500 0.3777  4 Rh 2.60
Rh: 0.2500 0.7500 0.5000  4 Sb 2.60
Rh: 0.7500 0.2500 0.5000  4 Sb 2.60

---

10.
A plane-wave DFT calculation with PBE-GGA was carried out for a relaxed RbHO3 crystal.

Summary:
Density of states at the Fermi level ... 0.587 states/eV per atom
Final energy ... -3.1381 eV per atom

a = 3.8234 Å, b = 3.8234 Å, c = 3.8234 Å
α = 90.00°, β = 90.00°, γ = 90.00°
Last column: nearest neighbours and their distance in Å.
Atoms (fractional coordinates):
Rb: 0.0000 0.0000 0.0000  12 O 2.70
H: 0.5000 0.5000 0.5000  6 O 1.91
O: 0.0000 0.5000 0.5000  2 H 1.91
O: 0.5000 0.0000 0.5000  2 H 1.91
O: 0.5000 0.5000 0.0000  2 H 1.91

---

11.
A plane-wave DFT calculation with PBE-GGA was carried out for a relaxed Ho5HgAu2 crystal.

Summary:
Density of states at the Fermi level ... 1.349 states/eV per atom
Formation energy ... -54.2 kJ/mol of atoms
Excess energy over the best structure of this formula in the dataset ... 0.0 kJ/mol of formula units

a = 8.5972 Å, b = 8.5972 Å, c = 8.5972 Å
α = 124.15°, β = 124.15°, γ = 82.95°
Last column: nearest neighbours and their distance in Å.
Atoms (fractional coordinates):
Ho: 0.0000 0.0000 0.0000  4 Au 3.13, 2 Hg 3.22
Ho: 0.0128 0.5128 0.8137  3 Au 3.00-3.01, 2 Hg 3.33
Ho: 0.1991 0.0128 0.5000  3 Au 3.00-3.01, 2 Hg 3.33
Ho: 0.3009 0.8009 0.8137  3 Au 3.00-3.01, 2 Hg 3.33
Ho: 0.4872 0.3009 0.5000  3 Au 3.00-3.01, 2 Hg 3.33
Ho: 0.5000 0.5000 0.0000  4 Au 3.13, 2 Hg 3.22
Ho: 0.5128 0.6991 0.5000  3 Au 3.00-3.01, 2 Hg 3.33
Ho: 0.6991 0.1991 0.1863  3 Au 3.00-3.01, 2 Hg 3.33
Ho: 0.8009 0.9872 0.5000  3 Au 3.00-3.01, 2 Hg 3.33
Ho: 0.9872 0.4872 0.1863  3 Au 3.00-3.01, 2 Hg 3.33
Hg: 0.2500 0.2500 0.0000  10 Ho 3.22-3.33
Hg: 0.7500 0.7500 0.0000  10 Ho 3.22-3.33
Au: 0.1361 0.3639 0.5000  8 Ho 3.00-3.13, 1 Au 3.10
Au: 0.3639 0.8639 0.2277  8 Ho 3.00-3.13, 1 Au 3.10
Au: 0.6361 0.1361 0.7723  8 Ho 3.00-3.13, 1 Au 3.10
Au: 0.8639 0.6361 0.5000  8 Ho 3.00-3.13, 1 Au 3.10

---

12.
A plane-wave DFT calculation with PBE-GGA was carried out for a relaxed CrReP4 crystal.

Summary:
Density of states at the Fermi level ... 0.783 states/eV per atom
Formation energy ... 85.5 kJ/mol of atoms

a = 4.8770 Å, b = 4.8770 Å, c = 4.8770 Å
α = 60.00°, β = 60.00°, γ = 60.00°
Last column: nearest neighbours and their distance in Å.
Atoms (fractional coordinates):
Cr: 0.0000 0.0000 0.0000  12 P 2.86, 4 Re 2.99
Re: 0.2500 0.2500 0.2500  12 P 2.86, 4 Cr 2.99
P: 0.1252 0.6249 0.6249  6 P 2.44
P: 0.6249 0.1252 0.6249  6 P 2.44
P: 0.6249 0.6249 0.1252  6 P 2.44
P: 0.6249 0.6249 0.6249  6 P 2.44